The following is a PBE-GGA calculation of Ta2AsAu after structural relaxation, from Alexandria via LeMat-Bulk.

Cell lengths 3.739, 4.120, 4.577 Å; angles 90.00, 90.00, 90.00 degrees
Space group Pmmm (No. 47)
One atom of each set of equivalent atoms:
Ta 0.000 0.000 0.000 [1 per cell]
Ta 0.500 0.000 0.500 [1 per cell]
As 0.000 0.500 0.500 [1 per cell]
Au 0.500 0.500 0.000 [1 per cell]

Properties
Theoretical density, g/cm³: 14.9
Energy of formation from the pure elements, meV/atom: 94
Energy, eV per atom: -7.814
E above lowest polymorph, eV per atom: 0.182